No. 1
# PBE-GGA LaAg2Hg4, optimized geometry
# Fermi-level density of states: 2.490 states/eV/f.u.
# DFT total energy: -0.070 Ha/atom
# Energy of formation: -1.4 eV per formula unit
data_LaAg2Hg4
_chemical_formula_sum 'La2 Ag4 Hg8'
_cell_length_a 9.3729
_cell_length_b 7.5669
_cell_length_c 5.6655
_cell_angle_alpha 90.00
_cell_angle_beta 126.52
_cell_angle_gamma 90.00
_symmetry_space_group_name_H-M 'C 1 2/m 1'
_symmetry_Int_Tables_number 12
loop_
_symmetry_equiv_pos_as_xyz
'x,y,z'
'-x,-y,-z'
'-x,y,-z'
'x,-y,z'
'x+1/2,y+1/2,z'
'-x+1/2,-y+1/2,-z'
'-x+1/2,y+1/2,-z'
'x+1/2,-y+1/2,z'
loop_
_atom_site_label
_atom_site_type_symbol
_atom_site_fract_x
_atom_site_fract_y
_atom_site_fract_z
La1 La 0.0000 0.0000 0.0000
Ag1 Ag 0.0013 0.5000 0.7511
Hg1 Hg 0.1955 0.1951 0.6956

***

No. 2
# PBE-GGA La5AgHg, optimized geometry
# Fermi-level density of states: 10.335 states/eV/f.u.
# DFT total energy: -0.149 Ha/atom
# Energy of formation: -0.6 eV per formula unit
data_La5AgHg
_chemical_formula_sum 'La20 Ag4 Hg4'
_cell_length_a 9.0760
_cell_length_b 8.3341
_cell_length_c 12.3084
_cell_angle_alpha 90.00
_cell_angle_beta 105.28
_cell_angle_gamma 90.00
_symmetry_space_group_name_H-M 'C 1 2/c 1'
_symmetry_Int_Tables_number 15
loop_
_symmetry_equiv_pos_as_xyz
'x,y,z'
'-x,-y,-z'
'-x,y,-z+1/2'
'x,-y,z+1/2'
'x+1/2,y+1/2,z'
'-x+1/2,-y+1/2,-z'
'-x+1/2,y+1/2,-z+1/2'
'x+1/2,-y+1/2,z+1/2'
loop_
_atom_site_label
_atom_site_type_symbol
_atom_site_fract_x
_atom_site_fract_y
_atom_site_fract_z
La1 La 0.0000 0.0047 0.2500
La2 La 0.1284 0.3615 0.5538
La3 La 0.2276 0.3065 0.8537
Ag1 Ag 0.0000 0.0000 0.0000
Hg1 Hg 0.0000 0.3950 0.2500

***

No. 3
# PBE-GGA LaAgHg3, optimized geometry
# Fermi-level density of states: 2.551 states/eV/f.u.
# DFT total energy: -0.075 Ha/atom
# Energy of formation: -1.5 eV per formula unit
data_LaAgHg3
_chemical_formula_sum 'La4 Ag4 Hg12'
_cell_length_a 9.7981
_cell_length_b 5.1848
_cell_length_c 9.7855
_cell_angle_alpha 90.00
_cell_angle_beta 90.00
_cell_angle_gamma 90.00
_symmetry_space_group_name_H-M 'P n m a'
_symmetry_Int_Tables_number 62
loop_
_symmetry_equiv_pos_as_xyz
'x,y,z'
'-x,-y,-z'
'-x+1/2,-y,z+1/2'
'x+1/2,y,-z+1/2'
'x+1/2,-y+1/2,-z+1/2'
'-x+1/2,y+1/2,z+1/2'
'-x,y+1/2,-z'
'x,-y+1/2,z'
loop_
_atom_site_label
_atom_site_type_symbol
_atom_site_fract_x
_atom_site_fract_y
_atom_site_fract_z
La1 La 0.2499 0.2500 0.0021
Ag1 Ag 0.1110 0.2500 0.3336
Hg1 Hg 0.0794 0.2500 0.6240
Hg2 Hg 0.1004 0.7500 0.8518
Hg3 Hg 0.1144 0.7500 0.1588

***

No. 4
# PBE-GGA La8Ag2Hg, optimized geometry
# Fermi-level density of states: 12.223 states/eV/f.u.
# DFT total energy: -0.158 Ha/atom
# Energy of formation: -1.8 eV per formula unit
data_La8Ag2Hg
_chemical_formula_sum 'La16 Ag4 Hg2'
_cell_length_a 19.0779
_cell_length_b 5.3681
_cell_length_c 7.4143
_cell_angle_alpha 90.00
_cell_angle_beta 108.90
_cell_angle_gamma 90.00
_symmetry_space_group_name_H-M 'C 1 2/m 1'
_symmetry_Int_Tables_number 12
loop_
_symmetry_equiv_pos_as_xyz
'x,y,z'
'-x,-y,-z'
'-x,y,-z'
'x,-y,z'
'x+1/2,y+1/2,z'
'-x+1/2,-y+1/2,-z'
'-x+1/2,y+1/2,-z'
'x+1/2,-y+1/2,z'
loop_
_atom_site_label
_atom_site_type_symbol
_atom_site_fract_x
_atom_site_fract_y
_atom_site_fract_z
La1 La 0.0214 0.0000 0.2656
La2 La 0.0890 0.5000 0.9692
La3 La 0.1710 0.5000 0.4900
La4 La 0.1958 0.0000 0.8220
Ag1 Ag 0.1757 0.0000 0.2187
Hg1 Hg 0.0000 0.5000 0.5000